# 1
This record from Alexandria describes crystalline Zr3AlGe at its relaxed geometry. The functional is GGA-PBE.

Properties
- energy relative to the lowest polymorph listed for this composition (meV/atom) = 426.1

CIF file:
```
data_Zr3AlGe
_space_group_name_H-M_alt 'P m -3 m'
_space_group_IT_number 221
_space_group_name_Hall '-P 4 2 3'
_cell_length_a 4.9874
_cell_length_b 4.9874
_cell_length_c 4.9874
_cell_angle_alpha 90.00
_cell_angle_beta 90.00
_cell_angle_gamma 90.00
loop_
_atom_site_label
_atom_site_fract_x
_atom_site_fract_y
_atom_site_fract_z
Zr1 0.0000 0.0000 0.5000
Al1 0.5000 0.5000 0.5000
Ge1 0.0000 0.0000 0.0000
```

# 2
This record from Alexandria describes crystalline Zr4AlGe at its relaxed geometry. The functional is GGA-PBE.

CIF file:
```
data_Zr4AlGe
_space_group_name_H-M_alt 'P 4/m c c'
_space_group_IT_number 124
_space_group_name_Hall '-P 4 2c'
_cell_length_a 6.7321
_cell_length_b 6.7321
_cell_length_c 5.4616
_cell_angle_alpha 90.00
_cell_angle_beta 90.00
_cell_angle_gamma 90.00
loop_
_atom_site_label
_atom_site_fract_x
_atom_site_fract_y
_atom_site_fract_z
Zr1 0.1516 0.3439 0.0000
Al1 0.5000 0.5000 0.2500
Ge1 0.0000 0.0000 0.2500
```

no.,density (g/cm3),energy of formation (eV/atom)
1,5.00,0.169
2,6.23,-0.530